# BaMnIO6

A geometry-optimized BaMnIO6 structure (GGA+U, Alexandria via LeMat-Bulk).

Calculated values
Its space-group type is No. 149. For the calculated total energy, the calculation gives -52.17 eV per cell.

abc: 5.2156 5.2170 5.8382
angles: 90.01 90.03 60.01
Element x y z (fractional)
O1 0.6060 0.0068 0.3105
O2 0.0070 0.6063 0.6894
O3 0.3867 0.6063 0.3106
O4 0.0066 0.3869 0.3107
O5 0.6064 0.3869 0.6893
O6 0.3871 0.0068 0.6895
I1 0.3333 0.3333 0.5000
Ba1 0.0000 0.0000 0.0000
Mn1 0.6666 0.6667 0.5000